Record 1
Ho2ThRh4 | GGA-PBE | optimized geometry

Cell and atoms, written as CIF:
```
data_Ho2ThRh4
_space_group_name_H-M_alt 'P 1'
_space_group_IT_number 1
_cell_length_a 8.276
_cell_length_b 8.276
_cell_length_c 8.276
_cell_angle_alpha 33.24
_cell_angle_beta 33.24
_cell_angle_gamma 33.24
loop_
_space_group_symop_operation_xyz
'x,y,z'
loop_
_atom_site_label
_atom_site_type_symbol
_atom_site_fract_x
_atom_site_fract_y
_atom_site_fract_z
Ho1 Ho 0.234 0.234 0.234
Ho2 Ho 0.766 0.766 0.766
Th1 Th 0.000 0.000 0.000
Rh1 Rh 0.116 0.116 0.116
Rh2 Rh 0.375 0.375 0.375
Rh3 Rh 0.625 0.625 0.625
Rh4 Rh 0.884 0.884 0.884
```

Output
VASP energy   -50.3 eV/cell
Formation enthalpy at 0 K   -414 kJ/mol of formula units
V   21.66 A^3/atom
Magnetic moment   0.00 μB/f.u.
DOS at the Fermi energy   0.42 states/eV/atom
SG   R-3m

Record 2
MgV3Pt | GGA-PBE | optimized geometry

Cell and atoms, written as CIF:
```
data_MgV3Pt
_space_group_name_H-M_alt 'P 1'
_space_group_IT_number 1
_cell_length_a 4.792
_cell_length_b 4.792
_cell_length_c 4.792
_cell_angle_alpha 90.00
_cell_angle_beta 90.00
_cell_angle_gamma 90.00
loop_
_space_group_symop_operation_xyz
'x,y,z'
loop_
_atom_site_label
_atom_site_type_symbol
_atom_site_fract_x
_atom_site_fract_y
_atom_site_fract_z
Mg1 Mg 0.000 0.000 0.000
V1 V 0.000 0.500 0.500
V2 V 0.500 0.000 0.500
V3 V 0.500 0.500 0.000
Pt1 Pt 0.500 0.500 0.500
```

Output
Energy above the most stable polymorph in this dataset   0.0 kJ/mol of atoms
VASP energy   -30.4 eV/cell
Formation enthalpy at 0 K   440 kJ/mol of formula units
V   22.01 A^3/atom
Magnetic moment   6.26 μB/f.u.
DOS at the Fermi energy   1.36 states/eV/atom
SG   Pm-3m

Record 3
TiAs2O7 | GGA-PBE | optimized geometry

Cell and atoms, written as CIF:
```
data_TiAs2O7
_space_group_name_H-M_alt 'P 1'
_space_group_IT_number 1
_cell_length_a 5.363
_cell_length_b 5.363
_cell_length_c 9.579
_cell_angle_alpha 99.09
_cell_angle_beta 99.09
_cell_angle_gamma 98.18
loop_
_space_group_symop_operation_xyz
'x,y,z'
loop_
_atom_site_label
_atom_site_type_symbol
_atom_site_fract_x
_atom_site_fract_y
_atom_site_fract_z
Ti1 Ti 0.000 0.000 0.000
Ti2 Ti 0.000 0.000 0.500
As1 As 0.170 0.440 0.801
As2 As 0.440 0.170 0.301
As3 As 0.560 0.830 0.699
As4 As 0.830 0.560 0.199
O1 O 0.032 0.709 0.355
O2 O 0.076 0.716 0.870
O3 O 0.229 0.251 0.924
O4 O 0.251 0.229 0.424
O5 O 0.284 0.924 0.630
O6 O 0.291 0.968 0.145
O7 O 0.472 0.528 0.750
O8 O 0.528 0.472 0.250
O9 O 0.709 0.032 0.855
O10 O 0.716 0.076 0.370
O11 O 0.749 0.771 0.576
O12 O 0.771 0.749 0.076
O13 O 0.924 0.284 0.130
O14 O 0.968 0.291 0.645
```

Output
Energy above the most stable polymorph in this dataset   1.5 kJ/mol of atoms
VASP energy   -137.5 eV/cell
V   13.23 A^3/atom
Magnetic moment   0.00 μB/f.u.
DOS at the Fermi energy   0.00 states/eV/atom
SG   C2/c

Record 4
U3S5Cl | GGA-PBE | optimized geometry

Cell and atoms, written as CIF:
```
data_U3S5Cl
_space_group_name_H-M_alt 'P 1'
_space_group_IT_number 1
_cell_length_a 7.584
_cell_length_b 7.584
_cell_length_c 9.926
_cell_angle_alpha 108.00
_cell_angle_beta 108.00
_cell_angle_gamma 71.61
loop_
_space_group_symop_operation_xyz
'x,y,z'
loop_
_atom_site_label
_atom_site_type_symbol
_atom_site_fract_x
_atom_site_fract_y
_atom_site_fract_z
U1 U 0.000 0.000 0.000
U2 U 0.000 0.000 0.500
U3 U 0.331 0.331 0.332
U4 U 0.354 0.354 0.821
U5 U 0.646 0.646 0.179
U6 U 0.669 0.669 0.668
S1 S 0.033 0.645 0.828
S2 S 0.229 0.229 0.531
S3 S 0.307 0.693 0.500
S4 S 0.355 0.967 0.172
S5 S 0.416 0.416 0.115
S6 S 0.584 0.584 0.885
S7 S 0.645 0.033 0.828
S8 S 0.693 0.307 0.500
S9 S 0.771 0.771 0.469
S10 S 0.967 0.355 0.172
Cl1 Cl 0.114 0.114 0.804
Cl2 Cl 0.886 0.886 0.196
```

Output
VASP energy   -135.9 eV/cell
V   27.82 A^3/atom
Magnetic moment   4.48 μB/f.u.
DOS at the Fermi energy   2.48 states/eV/atom
SG   C2/m